Compound: Ca2Pd3Pb2
Source: the Alexandria database
Functional: GGA-PBE
Structure: optimized geometry

Cell and atoms, written as POSCAR:
```
Ca2Pd3Pb2
1.0
-4.3975 4.3975 4.3975
4.3975 -4.3975 4.3975
4.3975 4.3975 -4.3975
Ca Pd Pb
4 6 4
Direct
0.0000 0.4876 0.5000
0.0124 0.0124 0.0124
0.4876 0.5000 0.0000
0.5000 0.0000 0.4876
0.0225 0.2725 0.7500
0.2275 0.2500 0.4775
0.2500 0.4775 0.2275
0.2725 0.7500 0.0225
0.4775 0.2275 0.2500
0.7500 0.0225 0.2725
0.0000 0.8966 0.5000
0.5000 0.0000 0.8966
0.6034 0.6034 0.6034
0.8966 0.5000 0.0000
```

## Properties
The energy is -4.38 eV/atom.

---

Compound: Cr2NiRh
Source: the Alexandria database
Functional: GGA-PBE
Structure: optimized geometry

Cell and atoms, written as POSCAR:
```
Cr2NiRh
1.0
2.5991 0.0000 0.0000
-1.2995 2.2509 0.0000
0.0000 0.0000 25.1681
Cr Ni Rh
6 3 3
Direct
0.0000 0.0000 0.2485
0.0000 0.0000 0.7515
0.3333 0.6667 0.4182
0.3333 0.6667 0.9152
0.6667 0.3333 0.0848
0.6667 0.3333 0.5818
0.0000 0.0000 0.5000
0.3333 0.6667 0.1667
0.6667 0.3333 0.8333
0.0000 0.0000 0.0000
0.3333 0.6667 0.6667
0.6667 0.3333 0.3333
```

## Properties
The energy is -7.95 eV/atom.

---

Compound: K3ReF8
Source: the Alexandria database
Functional: GGA-PBE
Structure: optimized geometry

Cell and atoms, written as POSCAR:
```
K3ReF8
1.0
8.0772 0.0000 0.0000
-4.0386 6.9950 0.0000
0.0000 0.0000 6.9950
K Re F
6 2 16
Direct
0.1541 0.3083 0.0000
0.1541 0.8459 0.0000
0.3083 0.1541 0.5000
0.6917 0.8459 0.0000
0.8459 0.1541 0.5000
0.8459 0.6917 0.5000
0.3333 0.6667 0.5563
0.6667 0.3333 0.0563
0.0000 0.0000 0.2390
0.0000 0.0000 0.7390
0.0623 0.5312 0.6393
0.2230 0.4460 0.3831
0.2230 0.7770 0.3831
0.3333 0.6667 0.8419
0.4460 0.2230 0.8831
0.4688 0.5312 0.6393
0.4688 0.9377 0.6393
0.5312 0.0623 0.1393
0.5312 0.4688 0.1393
0.5540 0.7770 0.3831
0.6667 0.3333 0.3419
0.7770 0.2230 0.8831
0.7770 0.5540 0.8831
0.9377 0.4688 0.1393
```

## Properties
The value obtained for the formation energy without anion corrections is -2.53 eV per atom.

---

Compound: PuAg2HO6
Source: the Alexandria database
Functional: GGA-PBE
Structure: optimized geometry

Cell and atoms, written as POSCAR:
```
PuAg2HO6
1.0
5.6828 -4.5062 0.0000
5.6828 4.5062 0.0000
-0.9651 0.0000 5.4765
Pu Ag H O
2 4 2 12
Direct
0.2456 0.7544 0.7500
0.7544 0.2456 0.2500
0.0076 0.7101 0.2142
0.2899 0.9924 0.2858
0.7101 0.0076 0.7142
0.9924 0.2899 0.7858
0.3732 0.6268 0.2500
0.6268 0.3732 0.7500
0.0283 0.1637 0.4309
0.1171 0.5882 0.8726
0.1637 0.0283 0.9309
0.2984 0.5757 0.4110
0.4118 0.8829 0.6274
0.4243 0.7016 0.0890
0.5757 0.2984 0.9110
0.5882 0.1171 0.3726
0.7016 0.4243 0.5890
0.8363 0.9717 0.0691
0.8829 0.4118 0.1274
0.9717 0.8363 0.5691
```

## Properties
The energy is -6.26 eV/atom.

---

Compound: UMnSnRh
Source: the Alexandria database
Functional: GGA-PBE
Structure: optimized geometry

Cell and atoms, written as POSCAR:
```
UMnSnRh
1.0
6.6514 0.0000 0.0000
0.0000 6.6514 0.0000
0.0000 0.0000 6.6514
U Mn Sn Rh
4 4 4 4
Direct
0.0000 0.0000 0.0000
0.0000 0.5000 0.5000
0.5000 0.0000 0.5000
0.5000 0.5000 0.0000
0.2500 0.2500 0.2500
0.2500 0.7500 0.7500
0.7500 0.2500 0.7500
0.7500 0.7500 0.2500
0.0000 0.0000 0.5000
0.0000 0.5000 0.0000
0.5000 0.0000 0.0000
0.5000 0.5000 0.5000
0.2500 0.2500 0.7500
0.2500 0.7500 0.2500
0.7500 0.2500 0.2500
0.7500 0.7500 0.7500
```

## Properties
The energy is -8.13 eV/atom.

---

Compound: MgHPd3
Source: the Alexandria database
Functional: GGA-PBE
Structure: optimized geometry

Cell and atoms, written as POSCAR:
```
MgHPd3
1.0
4.0237 0.0000 0.0000
0.0000 4.0237 0.0000
0.0000 0.0000 4.0237
Mg H Pd
1 1 3
Direct
0.0000 0.0000 0.0000
0.5000 0.5000 0.5000
0.0000 0.5000 0.5000
0.5000 0.0000 0.5000
0.5000 0.5000 0.0000
```

## Properties
The energy is -4.57 eV/atom.